[1]
The following is a GGA-PBE calculation of a relaxed In3SiCl crystal, from the Alexandria database.

Lattice parameters (Å, degrees): 5.388 5.388 5.388 90.00 90.00 90.00
Space group Pm-3m (No. 221)
One atom of each set of equivalent atoms:
In1 0.000 0.000 0.500
Si1 0.000 0.000 0.000
Cl1 0.500 0.500 0.500

crystal system	cubic


[2]
The following is a GGA-PBE calculation of a relaxed InSiCl2 crystal, from the Alexandria database.

Lattice parameters (Å, degrees): 3.272 3.272 8.846 90.00 90.00 90.00
Space group P4/mmm (No. 123)
One atom of each set of equivalent atoms:
In1 0.000 0.000 0.000
Si1 0.000 0.000 0.500
Cl1 0.500 0.500 0.311

crystal system	tetragonal


[3]
The following is a GGA-PBE calculation of a relaxed In2SiCl crystal, from the Alexandria database.

Lattice parameters (Å, degrees): 3.346 3.346 9.309 90.00 90.00 90.00
Space group P4mm (No. 99)
One atom of each set of equivalent atoms:
In1 0.000 0.000 0.000
In2 0.500 0.500 0.289
Si1 0.000 0.000 0.476
Cl1 0.500 0.500 0.814

crystal system	tetragonal


[4]
The following is a GGA-PBE calculation of a relaxed InSi2Cl crystal, from the Alexandria database.

Lattice parameters (Å, degrees): 5.121 11.743 2.877 90.00 90.00 90.00
Space group Cmmm (No. 65)
One atom of each set of equivalent atoms:
In1 0.000 0.000 0.000
Si1 0.250 0.250 0.500
Cl1 0.000 0.500 0.000

crystal system	orthorhombic


[5]
The following is a GGA-PBE calculation of a relaxed In2SiCl crystal, from the Alexandria database.

Lattice parameters (Å, degrees): 3.279 5.744 10.093 90.00 90.00 90.00
Space group Cmm2 (No. 35)
One atom of each set of equivalent atoms:
In1 0.000 0.000 0.000
In2 0.000 0.500 0.284
Si1 0.000 0.000 0.527
Cl1 0.000 0.500 0.716

crystal system	orthorhombic


[6]
The following is a GGA-PBE calculation of a relaxed InSi2Cl crystal, from the Alexandria database.

Lattice parameters (Å, degrees): 3.0940 3.0940 29.0955 90.00 90.00 120.00
Space group R-3m (No. 166, hexagonal axes)
One atom of each set of equivalent atoms:
In1 0.0000 0.0000 0.0000
Si1 0.0000 0.0000 0.2409
Cl1 0.0000 0.0000 0.5000

crystal system	trigonal


| no. | electronic total energy (eV per atom) | E above lowest polymorph (meV per atom) |
| --- | --- | --- |
| 1 | -2.978 | 0.0 |
| 2 | -3.013 | 387.9 |
| 3 | -3.094 | 233.0 |
| 4 | -3.436 | 491.6 |
| 5 | -3.069 | 258.4 |
| 6 | -3.375 | 552.4 |